Entry P
A relaxed Zr2PdF crystal. Source: the Alexandria database, functional GGA-PBE.

The structure belongs to space group Fm-3m (No. 225); the cell edges are 6.552, 6.552 and 6.552 Å and the angles 90.00°, 90.00° and 90.00°. Symmetry generates all atoms from Zr at (0.250, 0.250, 0.250), Pd at (0.000, 0.000, 0.000) and F at (0.000, 0.000, 0.500).



Entry Q
A relaxed Zr2PdF crystal. Source: the Alexandria database, functional GGA-PBE.

The structure belongs to space group I-42d (No. 122); the cell edges are 5.093, 5.093 and 12.802 Å and the angles 90.00°, 90.00° and 90.00°. Symmetry generates all atoms from Zr at (0.188, 0.250, 0.125), Pd at (0.000, 0.000, 0.500) and F at (0.000, 0.000, 0.000).



Result of the stability comparison: entry Q is the least stable of them.



Entry P
A relaxed ZrPd3F crystal. Source: the Alexandria database, functional GGA-PBE.

The structure belongs to space group Pm-3m (No. 221); the cell edges are 4.951, 4.951 and 4.951 Å and the angles 90.00°, 90.00° and 90.00°. Symmetry generates all atoms from Zr at (0.000, 0.000, 0.000), Pd at (0.000, 0.000, 0.500) and F at (0.500, 0.500, 0.500).



Entry Q
A relaxed ZrPd3F crystal. Source: the Alexandria database, functional GGA-PBE.

The structure belongs to space group Pm-3m (No. 221); the cell edges are 4.377, 4.377 and 4.377 Å and the angles 90.00°, 90.00° and 90.00°. Symmetry generates all atoms from Zr at (0.000, 0.000, 0.000), Pd at (0.000, 0.500, 0.500) and F at (0.500, 0.500, 0.500).



Result of the stability comparison: entry P is the least stable of them.



Entry P
A relaxed PmF4 crystal. Source: the Alexandria database, functional GGA-PBE.

The structure belongs to space group R-3m (No. 166, hexagonal axes); the cell edges are 4.0458, 4.0458 and 13.9955 Å and the angles 90.00°, 90.00° and 120.00°. Symmetry generates all atoms from Pm at (0.0000, 0.0000, 0.0000), F at (0.0000, 0.0000, 0.1698) and F at (0.0000, 0.0000, 0.3722).



Entry Q
A relaxed PmF4 crystal. Source: the Alexandria database, functional GGA-PBE.

The structure belongs to space group Pm-3m (No. 221); the cell edges are 4.544, 4.544 and 4.544 Å and the angles 90.00°, 90.00° and 90.00°. Symmetry generates all atoms from Pm at (0.000, 0.000, 0.000), F at (0.000, 0.000, 0.500) and F at (0.500, 0.500, 0.500).



Result of the stability comparison: entry Q is the least stable of them.



Entry P
A relaxed Rb2PmF4 crystal. Source: the Alexandria database, functional GGA-PBE.

The structure belongs to space group I4/mmm (No. 139); the cell edges are 4.562, 4.562 and 19.348 Å and the angles 90.00°, 90.00° and 90.00°. Symmetry generates all atoms from Rb at (0.000, 0.000, 0.156), Pm at (0.000, 0.000, 0.500), F at (0.000, 0.000, 0.385) and F at (0.000, 0.500, 0.000).



Entry Q
A relaxed Rb2PmF4 crystal. Source: the Alexandria database, functional GGA-PBE.

The structure belongs to space group Pbam (No. 55); the cell edges are 6.846, 11.974 and 3.947 Å and the angles 90.00°, 90.00° and 90.00°. Symmetry generates all atoms from Rb at (0.027, 0.179, 0.000), Pm at (0.000, 0.500, 0.500), F at (0.137, 0.422, 0.000) and F at (0.151, 0.671, 0.500).



Result of the stability comparison: entry P is the least stable of them.



Entry P
A relaxed PmRuF6 crystal. Source: the Alexandria database, functional GGA-PBE.

The structure belongs to space group R-3 (No. 148, hexagonal axes); the cell edges are 5.5774, 5.5774 and 15.1068 Å and the angles 90.00°, 90.00° and 120.00°. Symmetry generates all atoms from Pm at (0.0000, 0.0000, 0.0000), Ru at (0.0000, 0.0000, 0.5000) and F at (0.0242, 0.3961, 0.2455).



Entry Q
A relaxed PmRuF6 crystal. Source: the Alexandria database, functional GGA-PBE.

The structure belongs to space group C2/m (No. 12); the cell edges are 6.545, 6.230 and 5.649 Å and the angles 90.00°, 110.56° and 90.00°. Symmetry generates all atoms from Pm at (0.000, 0.000, 0.000), Ru at (0.000, 0.500, 0.500), F at (0.105, 0.297, 0.803) and F at (0.186, 0.000, 0.447).



Result of the stability comparison: entry Q is the least stable of them.



Entry P
A relaxed PmSF crystal. Source: the Alexandria database, functional GGA-PBE.

The structure belongs to space group P-6m2 (No. 187); the cell edges are 4.0390, 4.0390 and 3.9280 Å and the angles 90.00°, 90.00° and 120.00°. Symmetry generates all atoms from Pm at (0.0000, 0.0000, 0.0000), S at (0.6667, 0.3333, 0.5000) and F at (0.3333, 0.6667, 0.0000).



Entry Q
A relaxed PmSF crystal. Source: the Alexandria database, functional GGA-PBE.

The structure belongs to space group I4mm (No. 107); the cell edges are 3.867, 3.867 and 7.967 Å and the angles 90.00°, 90.00° and 90.00°. Symmetry generates all atoms from Pm at (0.000, 0.000, 0.000), S at (0.000, 0.000, 0.381) and F at (0.000, 0.000, 0.719).



Entry R
A relaxed PmSF crystal. Source: the Alexandria database, functional GGA-PBE.

The structure belongs to space group F-43m (No. 216); the cell edges are 6.326, 6.326 and 6.326 Å and the angles 90.00°, 90.00° and 90.00°. Symmetry generates all atoms from Pm at (0.000, 0.000, 0.000), S at (0.250, 0.250, 0.750) and F at (0.250, 0.250, 0.250).



Entry S
A relaxed PmSF crystal. Source: the Alexandria database, functional GGA-PBE.

The structure belongs to space group P4/nmm (No. 129, origin choice 2); the cell edges are 3.914, 3.914 and 6.960 Å and the angles 90.00°, 90.00° and 90.00°. Symmetry generates all atoms from Pm at (0.250, 0.250, 0.229), S at (0.250, 0.250, 0.646) and F at (0.250, 0.750, 0.000).



Result of the stability comparison: entry Q is the least stable of them.